[1]
Material: CaSbW
Method: DFT, PBE-GGA
State: optimized geometry

Cell lengths 3.423, 3.423, 7.016 Å; angles 90.00, 90.00, 120.00 degrees
Element x y z (fractional)
Ca 0.000 0.000 0.000
Sb 0.667 0.333 0.382
W 0.333 0.667 0.651

Values from the calculation:
SG = No. 156
Total moment = 0.69 μB per cell
DOS(E_F) = 1.7 states/eV per cell
Formation energy from raw total energies = 0.5003 eV per atom



[2]
Material: Ca2SbW
Method: DFT, PBE-GGA
State: optimized geometry

Cell lengths 10.398, 10.398, 10.398 Å; angles 18.41, 18.41, 18.41 degrees
Element x y z (fractional)
Ca 0.247 0.247 0.247
Ca 0.753 0.753 0.753
Sb 0.000 0.000 0.000
W 0.500 0.500 0.500

Values from the calculation:
SG = No. 166
Total moment = 0.00 μB per cell
DOS(E_F) = 2.7 states/eV per cell
Formation energy from raw total energies = 0.4360 eV per atom



[3]
Material: CaSb2W
Method: DFT, PBE-GGA
State: optimized geometry

Cell lengths 3.067, 3.067, 10.832 Å; angles 90.00, 90.00, 90.00 degrees
Element x y z (fractional)
Ca 0.000 0.000 0.000
Sb 0.000 0.000 0.585
Sb 0.500 0.500 0.239
W 0.500 0.500 0.774

Values from the calculation:
SG = No. 99
Total moment = 0.00 μB per cell
DOS(E_F) = 2.8 states/eV per cell
Formation energy from raw total energies = 0.3701 eV per atom



[4]
Material: CaSb2W
Method: DFT, PBE-GGA
State: optimized geometry

Cell lengths 4.972, 4.972, 4.972 Å; angles 60.00, 60.00, 60.00 degrees
Element x y z (fractional)
Ca 0.000 0.000 0.000
Sb 0.250 0.250 0.250
Sb 0.750 0.750 0.750
W 0.500 0.500 0.500

Values from the calculation:
SG = No. 225
Total moment = 0.00 μB per cell
DOS(E_F) = 3.1 states/eV per cell
Formation energy from raw total energies = 0.1629 eV per atom



[5]
Material: CaSb3W
Method: DFT, PBE-GGA
State: optimized geometry

Cell lengths 5.495, 5.495, 5.495 Å; angles 90.00, 90.00, 90.00 degrees
Element x y z (fractional)
Ca 0.000 0.000 0.000
Sb 0.000 0.000 0.500
Sb 0.000 0.500 0.000
Sb 0.500 0.000 0.000
W 0.500 0.500 0.500

Values from the calculation:
SG = No. 221
Total moment = 0.61 μB per cell
DOS(E_F) = 7.9 states/eV per cell
Formation energy from raw total energies = 1.9130 eV per atom



[6]
Material: Ca2SbW
Method: DFT, PBE-GGA
State: optimized geometry

Cell lengths 5.804, 5.804, 3.052 Å; angles 90.00, 90.00, 112.94 degrees
Element x y z (fractional)
Ca 0.000 0.500 0.000
Ca 0.500 0.000 0.000
Sb 0.000 0.000 0.500
W 0.500 0.500 0.500

Values from the calculation:
SG = No. 65
Total moment = 0.00 μB per cell
DOS(E_F) = 4.7 states/eV per cell
Formation energy from raw total energies = 0.3902 eV per atom



[7]
Material: CaSbW
Method: DFT, PBE-GGA
State: optimized geometry

Cell lengths 4.967, 4.967, 3.093 Å; angles 90.00, 90.00, 120.00 degrees
Element x y z (fractional)
Ca 0.000 0.000 0.000
Sb 0.667 0.333 0.500
W 0.333 0.667 0.500

Values from the calculation:
SG = No. 187
Total moment = 0.00 μB per cell
DOS(E_F) = 3.2 states/eV per cell
Formation energy from raw total energies = 0.4882 eV per atom



[8]
Material: Ca2SbW
Method: DFT, PBE-GGA
State: optimized geometry

Cell lengths 5.084, 5.084, 5.084 Å; angles 60.00, 60.00, 60.00 degrees
Element x y z (fractional)
Ca 0.000 0.000 0.000
Ca 0.250 0.250 0.250
Sb 0.750 0.750 0.750
W 0.500 0.500 0.500

Values from the calculation:
SG = No. 216
Total moment = 2.19 μB per cell
DOS(E_F) = 6.1 states/eV per cell
Formation energy from raw total energies = 0.4804 eV per atom



[9]
Material: Ca2YSb
Method: DFT, PBE-GGA
State: optimized geometry

Cell lengths 7.497, 7.497, 7.497 Å; angles 100.42, 100.42, 129.66 degrees
Element x y z (fractional)
Ca 0.059 0.625 0.934
Ca 0.375 0.309 0.434
Ca 0.691 0.125 0.066
Ca 0.875 0.941 0.566
Y 0.250 0.750 0.500
Y 0.500 0.500 0.000
Sb 0.000 0.000 0.000
Sb 0.750 0.250 0.500

Values from the calculation:
SG = No. 122
Total moment = 0.00 μB per cell
DOS(E_F) = 7.2 states/eV per cell
Formation energy from raw total energies = -0.2184 eV per atom



[10]
Material: CaY2Sb2
Method: DFT, PBE-GGA
State: optimized geometry

Cell lengths 8.676, 8.676, 3.897 Å; angles 90.00, 90.00, 90.00 degrees
Element x y z (fractional)
Ca 0.000 0.000 0.000
Ca 0.500 0.500 0.000
Y 0.134 0.366 0.000
Y 0.366 0.866 0.000
Y 0.634 0.134 0.000
Y 0.866 0.634 0.000
Sb 0.165 0.665 0.500
Sb 0.335 0.165 0.500
Sb 0.665 0.835 0.500
Sb 0.835 0.335 0.500

Values from the calculation:
SG = No. 127
Total moment = 0.40 μB per cell
DOS(E_F) = 6.0 states/eV per cell
Formation energy from raw total energies = -0.6764 eV per atom



[11]
Material: Ca3YSb2
Method: DFT, PBE-GGA
State: optimized geometry

Cell lengths 8.976, 8.976, 8.976 Å; angles 149.79, 148.72, 44.04 degrees
Element x y z (fractional)
Ca 0.000 0.000 0.000
Ca 0.174 0.674 0.500
Ca 0.826 0.326 0.500
Y 0.500 0.500 0.000
Sb 0.366 0.866 0.500
Sb 0.634 0.134 0.500

Values from the calculation:
SG = No. 71
Total moment = 0.00 μB per cell
DOS(E_F) = 2.6 states/eV per cell
Formation energy from raw total energies = -0.8374 eV per atom



[12]
Material: Ca2YSb
Method: DFT, PBE-GGA
State: optimized geometry

Cell lengths 6.545, 6.545, 3.511 Å; angles 98.15, 98.15, 118.73 degrees
Element x y z (fractional)
Ca 0.000 0.500 0.000
Ca 0.500 0.000 0.000
Y 0.000 0.000 0.500
Sb 0.500 0.500 0.500

Values from the calculation:
SG = No. 12
Total moment = 0.00 μB per cell
DOS(E_F) = 2.1 states/eV per cell
Formation energy from raw total energies = -0.2935 eV per atom